1.
Material: Tm4CuSe2S
Method: DFT, PBE
State: relaxed

Summary:
ΔE_f (raw): -1385 meV/atom
uncorrected energy: -0.406 Ry/atom
M_tot: 0.00 μB/cell
space-group type: P2/m (10)

Unit cell a=6.9631 b=3.8673 c=6.9662 alpha=90.00 beta=108.47 gamma=90.00
With the nearest neighbours (Å) after each atom.
Fractional coordinates of all 8 atoms:
Tm  0.2391  0.0000  0.2308  2 Cu 2.72, 1 S 2.78, 3 Se 2.87-2.90
Tm  0.2537  0.5000  0.7665  2 S 2.75, 1 Cu 2.75, 3 Se 2.87-2.90
Tm  0.7463  0.5000  0.2335  2 S 2.75, 1 Cu 2.75, 3 Se 2.87-2.90
Tm  0.7609  0.0000  0.7692  2 Cu 2.72, 1 S 2.78, 3 Se 2.87-2.90
Cu  0.0000  0.5000  0.0000  6 Tm 2.72-2.75
Se  0.0000  0.0000  0.5000  6 Tm 2.87
Se  0.5000  0.5000  0.5000  6 Tm 2.90
S  0.5000  0.0000  0.0000  6 Tm 2.75-2.78

---

2.
Material: TmCuSeS
Method: DFT, PBE
State: relaxed

Summary:
ΔE_f (raw): -1225 meV/atom
uncorrected energy: -0.387 Ry/atom
M_tot: 0.00 μB/cell
space-group type: R-3m (166)

Unit cell a=13.2624 b=13.2624 c=13.2624 alpha=17.45 beta=17.45 gamma=17.45
With the nearest neighbours (Å) after each atom.
Fractional coordinates of all 8 atoms:
Tm  0.0915  0.0915  0.0915  3 S 2.60
Tm  0.9085  0.9085  0.9085  3 S 2.60
Cu  0.3130  0.3130  0.3130  4 Se 2.49-2.50
Cu  0.6870  0.6870  0.6870  4 Se 2.49-2.50
Se  0.3768  0.3768  0.3768  4 Cu 2.49-2.50
Se  0.6232  0.6232  0.6232  4 Cu 2.49-2.50
S  0.2117  0.2117  0.2117  3 Tm 2.60
S  0.7883  0.7883  0.7883  3 Tm 2.60

---

3.
Material: U2CuSe4S
Method: DFT, PBE
State: relaxed

Summary:
ΔE_f (raw): -937 meV/atom
uncorrected energy: -0.480 Ry/atom
M_tot: 6.15 μB/cell
space-group type: C2/m (12)

Unit cell a=11.7794 b=3.8446 c=7.9838 alpha=90.00 beta=109.13 gamma=90.00
With the nearest neighbours (Å) after each atom.
Fractional coordinates of all 16 atoms:
U  0.1584  0.0000  0.1896  2 S 2.76, 5 Se 2.84-3.00
U  0.3416  0.5000  0.8104  2 S 2.76, 5 Se 2.84-3.00
U  0.6584  0.5000  0.1896  2 S 2.76, 5 Se 2.84-3.00
U  0.8416  0.0000  0.8104  2 S 2.76, 5 Se 2.84-3.00
Cu  0.0000  0.0000  0.5000  6 Se 2.59-2.65
Cu  0.5000  0.5000  0.5000  6 Se 2.59-2.65
Se  0.1316  0.5000  0.4459  2 Cu 2.59, 2 U 2.90
Se  0.1660  0.0000  0.8178  1 Cu 2.65, 2 U 2.84
Se  0.3340  0.5000  0.1822  1 Cu 2.65, 2 U 2.84
Se  0.3684  0.0000  0.5541  2 Cu 2.59, 2 U 2.90
Se  0.6316  0.0000  0.4459  2 Cu 2.59, 2 U 2.90
Se  0.6660  0.5000  0.8178  1 Cu 2.65, 2 U 2.84
Se  0.8340  0.0000  0.1822  1 Cu 2.65, 2 U 2.84
Se  0.8684  0.5000  0.5541  2 Cu 2.59, 2 U 2.90
S  0.0000  0.5000  0.0000  4 U 2.76
S  0.5000  0.0000  0.0000  4 U 2.76

---

4.
Material: Y4CuSeS2
Method: DFT, PBE
State: relaxed

Summary:
ΔE_f (raw): -1485 meV/atom
uncorrected energy: -0.492 Ry/atom
M_tot: 0.00 μB/cell
space-group type: P2/m (10)

Unit cell a=6.9522 b=3.9197 c=6.9839 alpha=90.00 beta=108.62 gamma=90.00
With the nearest neighbours (Å) after each atom.
Fractional coordinates of all 8 atoms:
Y  0.2405  0.0000  0.2391  3 S 2.76-2.82, 1 Cu 2.84, 2 Se 2.88
Y  0.2463  0.5000  0.7542  3 S 2.78-2.82, 2 Cu 2.83, 1 Se 2.87
Y  0.7537  0.5000  0.2458  3 S 2.78-2.82, 2 Cu 2.83, 1 Se 2.87
Y  0.7595  0.0000  0.7609  3 S 2.76-2.82, 1 Cu 2.84, 2 Se 2.88
Cu  0.0000  0.0000  0.5000  6 Y 2.83-2.84
Se  0.5000  0.5000  0.5000  6 Y 2.87-2.88
S  0.0000  0.5000  0.0000  6 Y 2.76-2.78
S  0.5000  0.0000  0.0000  6 Y 2.82